Entry from OQMD: a geometry-optimized TmMgGa structure (PBE-GGA).

extended XYZ file:
```
9
Lattice="7.1145 0.0000 0.0000 -3.5573 6.1614 0.0000 0.0000 0.0000 4.5385" Properties=species:S:1:pos:R:3 pbc="T T T"
Tm -2.0010 3.4657 0.0000
Tm 1.5563 2.6956 0.0000
Tm 4.0019 0.0000 0.0000
Mg 0.0000 0.0000 0.0000
Mg 0.0000 4.1076 2.2692
Mg 3.5573 2.0538 2.2692
Ga -0.8674 1.5024 2.2692
Ga 1.7348 0.0000 2.2692
Ga 2.6898 4.6589 2.2692
```

Results
ΔE to the lowest computed polymorph (eV/atom): 0.2555
Space-group type: P-62m